1.
## Ca2ScHg2 (GGA-PBE)

Data for Ca2ScHg2 after structural relaxation.

Cell: 8.8212 8.8212 3.4621 Å, 90.00 90.00 90.00°
Site moments in Bohr magnetons follow the coordinates.
Fractional coordinates of all 10 atoms:
Sc 0.0000 0.0000 0.0000  0.25
Sc 0.5000 0.5000 0.0000  0.25
Ca 0.3609 0.8609 0.0000  0.00
Ca 0.8609 0.6391 0.0000  0.00
Ca 0.6391 0.1391 0.0000  0.00
Ca 0.1391 0.3609 0.0000  0.00
Hg 0.1591 0.6591 0.5000  0.00
Hg 0.6591 0.8409 0.5000  0.00
Hg 0.8409 0.3409 0.5000  0.00
Hg 0.3409 0.1591 0.5000  0.00

Values from the calculation:
Relative energy among the computed polymorphs (eV per atom): 0.144
Energy of formation (eV per atom): -0.19
Crystal system: tetragonal


2.
## Ta2AlW (GGA-PBE)

Data for Ta2AlW after structural relaxation.

Cell: 2.8138 2.8138 9.0175 Å, 90.00 90.00 107.55°
Fractional coordinates of all 4 atoms:
Al 0.5000 0.5000 0.7500
W 0.5000 0.5000 0.2500
Ta 0.0000 0.0000 0.9989
Ta 0.0000 0.0000 0.5011

Values from the calculation:
Energy of formation (eV per atom): -0.10
Crystal system: orthorhombic


3.
## BaPrIr (GGA-PBE)

Data for BaPrIr after structural relaxation.

Cell: 4.1809 4.1776 14.8176 Å, 90.00 90.00 120.03°
Fractional coordinates of all 6 atoms:
Ir 0.6111 0.2223 0.0000
Ir 0.2776 0.5553 0.5000
Ba 0.6113 0.2225 0.3740
Ba 0.6113 0.2225 0.6260
Pr 0.2776 0.5553 0.8862
Pr 0.2776 0.5553 0.1138

Values from the calculation:
Relative energy among the computed polymorphs (eV per atom): 0.206
Energy of formation (eV per atom): -0.08
Crystal system: hexagonal


4.
## TbSc2Zn (GGA-PBE)

Data for TbSc2Zn after structural relaxation.

Cell: 3.4880 5.0874 6.1722 Å, 114.33 106.41 90.00°
Fractional coordinates of all 4 atoms:
Tb 0.0000 0.5000 0.0000
Sc 0.7837 0.7837 0.5674
Sc 0.2163 0.2163 0.4326
Zn 0.5000 0.0000 0.0000

Values from the calculation:
Relative energy among the computed polymorphs (eV per atom): 0.000
Energy of formation (eV per atom): -0.16
Crystal system: orthorhombic


5.
## Ac8NiP3Cl4 (GGA-PBE)

Data for Ac8NiP3Cl4 after structural relaxation.

Cell: 8.8483 8.8005 8.8486 Å, 120.18 120.00 90.00°
Fractional coordinates of all 16 atoms:
Ac 0.2367 0.7230 0.9863
Ac 0.2368 0.7230 0.4735
Ac 0.2578 0.2734 0.5156
Ac 0.7495 0.7230 0.9863
Ac 0.2505 0.2770 0.0137
Ac 0.7422 0.7266 0.4844
Ac 0.7632 0.2770 0.5265
Ac 0.7633 0.2770 0.0137
Ni 0.0000 0.5000 0.0000
P 0.5000 0.5000 0.0000
P 0.5000 0.5000 0.5000
P 0.0000 0.5000 0.5000
Cl 0.5000 0.0000 0.0000
Cl 0.5000 0.0000 0.5000
Cl 0.0000 0.0000 0.0000
Cl 0.0000 0.0000 0.5000

Values from the calculation:
Crystal system: trigonal
Formation energy (no corrections) (eV/atom): -1.376


6.
## CoPt8Rh2 (GGA-PBE)

Data for CoPt8Rh2 after structural relaxation.

Cell: 3.9217 6.2094 7.3227 Å, 104.93 105.53 90.00°
Site moments in Bohr magnetons follow the coordinates.
Fractional coordinates of all 11 atoms:
Co 0.5000 0.0000 0.0000  2.10
Pt 0.5913 0.4453 0.1825  0.22
Pt 0.3197 0.0881 0.6394  0.22
Pt 0.1349 0.1800 0.2697  0.24
Pt 0.0452 0.7318 0.0903  0.24
Pt 0.8651 0.8200 0.7303  0.24
Pt 0.6803 0.9119 0.3606  0.22
Pt 0.4087 0.5547 0.8175  0.22
Pt 0.9548 0.2682 0.9097  0.24
Rh 0.2250 0.6316 0.4499  0.41
Rh 0.7750 0.3684 0.5501  0.41

Values from the calculation:
Energy of formation (eV per atom): -0.04
Crystal system: monoclinic


7.
## InSb3F18 (GGA-PBE)

Data for InSb3F18 after structural relaxation.

Cell: 9.0594 9.0594 9.7493 Å, 90.00 90.00 120.00°
Fractional coordinates of all 44 atoms:
In 0.0000 0.0000 0.0000
In 0.0000 0.0000 0.5000
Sb 0.6561 0.0000 0.7500
Sb 0.3439 0.3439 0.7500
Sb 0.0000 0.6561 0.7500
Sb 0.6561 0.6561 0.2500
Sb 0.0000 0.3439 0.2500
Sb 0.3439 0.0000 0.2500
F 0.4743 0.9031 0.8753
F 0.4288 0.5257 0.8753
F 0.0969 0.5712 0.8753
F 0.4743 0.5712 0.3753
F 0.0969 0.5257 0.3753
F 0.4288 0.9031 0.3753
F 0.5257 0.0969 0.1247
F 0.5712 0.4743 0.1247
F 0.9031 0.4288 0.1247
F 0.5257 0.4288 0.6247
F 0.9031 0.4743 0.6247
F 0.5712 0.0969 0.6247
F 0.7851 0.9152 0.8699
F 0.1301 0.2149 0.8699
F 0.0848 0.8699 0.8699
F 0.7851 0.8699 0.3699
F 0.0848 0.2149 0.3699
F 0.1301 0.9152 0.3699
F 0.2149 0.0848 0.1301
F 0.8699 0.7851 0.1301
F 0.9152 0.1301 0.1301
F 0.2149 0.1301 0.6301
F 0.9152 0.7851 0.6301
F 0.8699 0.0848 0.6301
F 0.7862 0.2039 0.8493
F 0.4177 0.2138 0.8493
F 0.7961 0.5823 0.8493
F 0.7862 0.5823 0.3493
F 0.7961 0.2138 0.3493
F 0.4177 0.2039 0.3493
F 0.2138 0.7961 0.1507
F 0.5823 0.7862 0.1507
F 0.2039 0.4177 0.1507
F 0.2138 0.4177 0.6507
F 0.2039 0.7862 0.6507
F 0.5823 0.7961 0.6507

Values from the calculation:
Crystal system: trigonal
Formation energy (no corrections) (eV/atom): -2.294


8.
## Pa2GaNi6 (GGA-PBE)

Data for Pa2GaNi6 after structural relaxation.

Cell: 5.2259 5.1207 5.9261 Å, 79.27 90.00 120.68°
Fractional coordinates of all 9 atoms:
Pa 0.6411 0.2821 0.1806
Pa 0.3589 0.7179 0.8194
Ga 0.0000 0.0000 0.0000
Ni 0.8702 0.2571 0.6640
Ni 0.8723 0.7446 0.6820
Ni 0.3869 0.2571 0.6640
Ni 0.1298 0.7429 0.3360
Ni 0.1277 0.2554 0.3180
Ni 0.6131 0.7429 0.3360

Values from the calculation:
Relative energy among the computed polymorphs (eV per atom): 0.000
Energy of formation (eV per atom): -0.41
Crystal system: monoclinic


Please write out number 4 again, unchanged.
## TbSc2Zn (GGA-PBE)

Data for TbSc2Zn after structural relaxation.

Cell: 3.4880 5.0874 6.1722 Å, 114.33 106.41 90.00°
Fractional coordinates of all 4 atoms:
Tb 0.0000 0.5000 0.0000
Sc 0.7837 0.7837 0.5674
Sc 0.2163 0.2163 0.4326
Zn 0.5000 0.0000 0.0000

Values from the calculation:
Relative energy among the computed polymorphs (eV per atom): 0.000
Energy of formation (eV per atom): -0.16
Crystal system: orthorhombic